Pr5Pb2: relaxed, PBE.

Values from the calculation:
**Formation energy from the elements**: -331 meV per atom
**Calculated total energy**: -4.804 eV/atom
**Space group**: No. 15
**Distance to the lowest polymorph of the same formula**: 22 meV per atom

a = 6.1455 Å, b = 9.2228 Å, c = 8.8456 Å
α = 96.06°, β = 110.33°, γ = 90.00°
Positions (direct):
Pr: 0.3124 0.4473 0.2379
Pr: 0.0744 0.0527 0.7621
Pr: 0.1634 0.6849 0.5574
Pr: 0.6060 0.8151 0.4426
Pr: 0.8366 0.3151 0.4426
Pr: 0.3940 0.1849 0.5574
Pr: 0.9256 0.9473 0.2379
Pr: 0.6876 0.5527 0.7621
Pr: 0.7418 0.2500 0.0000
Pr: 0.2582 0.7500 0.0000
Pb: 0.2122 0.4069 0.8213
Pb: 0.3909 0.0931 0.1787
Pb: 0.7878 0.5931 0.1787
Pb: 0.6091 0.9069 0.8213

Pr5Pb3: relaxed, PBE.

Values from the calculation:
**Formation energy from the elements**: -494 meV per atom
**Calculated total energy**: -4.871 eV/atom
**Space group**: No. 140
**Distance to the lowest polymorph of the same formula**: 42 meV per atom

a = 8.5784 Å, b = 8.5784 Å, c = 9.4326 Å
α = 117.05°, β = 117.05°, γ = 90.00°
Positions (direct):
Pr: 0.0000 0.0000 0.0000
Pr: 0.5000 0.5000 0.0000
Pr: 0.5103 0.0103 0.6988
Pr: 0.1886 0.6886 0.6988
Pr: 0.6886 0.5103 0.6988
Pr: 0.0103 0.1886 0.6988
Pr: 0.4897 0.9897 0.3012
Pr: 0.8114 0.3114 0.3012
Pr: 0.3114 0.4897 0.3012
Pr: 0.9897 0.8114 0.3012
Pb: 0.7500 0.7500 0.5000
Pb: 0.2500 0.2500 0.5000
Pb: 0.1397 0.6397 0.0000
Pb: 0.8603 0.3603 0.0000
Pb: 0.3603 0.1397 0.0000
Pb: 0.6397 0.8603 0.0000